A plane-wave DFT calculation with PBE was carried out for crystalline TaSb2Br at its relaxed geometry.

Values from the calculation:
Space-group type ... P4/mmm (123)
Energy above the lowest structure with this stoichiometry ... 0.792 eV per atom
Formation energy (no corrections) ... 741 meV/atom

The structure in POSCAR format:
```
TaSb2Br
1.0
4.230 0.000 0.000
0.000 4.230 0.000
0.000 0.000 5.343
Ta Sb Br
1 2 1
Direct
0.000 0.000 0.000
0.000 0.500 0.500
0.500 0.000 0.500
0.500 0.500 0.000
```

***

A plane-wave DFT calculation with PBE was carried out for crystalline TaSb2Br at its relaxed geometry.

Values from the calculation:
Space-group type ... Cmmm (65)
Energy above the lowest structure with this stoichiometry ... 0.148 eV per atom
Formation energy (no corrections) ... 97 meV/atom

The structure in POSCAR format:
```
TaSb2Br
1.0
1.927 -2.427 0.000
1.927 2.427 0.000
0.000 0.000 11.142
Ta Sb Br
1 2 1
Direct
0.000 0.000 0.000
0.500 0.500 0.196
0.500 0.500 0.804
0.000 0.000 0.500
```

***

A plane-wave DFT calculation with PBE was carried out for crystalline TaSb4Br at its relaxed geometry.

Values from the calculation:
Space-group type ... F-43m (216)
Formation energy (no corrections) ... 793 meV/atom

The structure in POSCAR format:
```
TaSb4Br
1.0
0.000 4.341 4.341
4.341 0.000 4.341
4.341 4.341 0.000
Ta Sb Br
1 4 1
Direct
0.000 0.000 0.000
0.375 0.375 0.375
0.375 0.375 0.876
0.375 0.876 0.375
0.876 0.375 0.375
0.750 0.750 0.750
```

***

A plane-wave DFT calculation with PBE was carried out for crystalline TaSb2Br at its relaxed geometry.

Values from the calculation:
Space-group type ... P4mm (99)
Energy above the lowest structure with this stoichiometry ... 0.202 eV per atom
Formation energy (no corrections) ... 151 meV/atom

The structure in POSCAR format:
```
TaSb2Br
1.0
3.130 0.000 0.000
0.000 3.130 0.000
0.000 0.000 11.089
Ta Sb Br
1 2 1
Direct
0.000 0.000 0.000
0.000 0.000 0.476
0.500 0.500 0.814
0.500 0.500 0.151
```

***

A plane-wave DFT calculation with PBE was carried out for crystalline TaSbBr at its relaxed geometry.

Values from the calculation:
Space-group type ... P3m1 (156)
Energy above the lowest structure with this stoichiometry ... 0.099 eV per atom
Formation energy (no corrections) ... -117 meV/atom

The structure in POSCAR format:
```
TaSbBr
1.0
3.268 0.000 0.000
-1.634 2.830 0.000
0.000 0.000 8.283
Ta Sb Br
1 1 1
Direct
0.000 0.000 0.000
0.333 0.667 0.724
0.667 0.333 0.229
```

***

A plane-wave DFT calculation with PBE was carried out for crystalline Ta2SbBr at its relaxed geometry.

Values from the calculation:
Space-group type ... Pm (6)
Energy above the lowest structure with this stoichiometry ... 0.000 eV per atom
Formation energy (no corrections) ... -84 meV/atom

The structure in POSCAR format:
```
Ta2SbBr
1.0
3.570 0.000 0.000
0.000 3.335 0.000
-1.727 0.000 8.484
Ta Sb Br
2 1 1
Direct
0.000 0.000 0.000
0.415 0.500 0.824
0.588 0.500 0.183
0.296 0.000 0.577
```

***

A plane-wave DFT calculation with PBE was carried out for crystalline Ta2SbBr at its relaxed geometry.

Values from the calculation:
Space-group type ... Pmmm (47)
Energy above the lowest structure with this stoichiometry ... 0.713 eV per atom
Formation energy (no corrections) ... 629 meV/atom

The structure in POSCAR format:
```
Ta2SbBr
1.0
2.994 0.000 0.000
0.000 4.766 0.000
0.000 0.000 5.863
Ta Sb Br
2 1 1
Direct
0.000 0.000 0.000
0.500 0.000 0.500
0.000 0.500 0.500
0.500 0.500 0.000
```

***

A plane-wave DFT calculation with PBE was carried out for crystalline Ta2SbBr at its relaxed geometry.

Values from the calculation:
Space-group type ... Pmmm (47)
Energy above the lowest structure with this stoichiometry ... 0.418 eV per atom
Formation energy (no corrections) ... 334 meV/atom

The structure in POSCAR format:
```
Ta2SbBr
1.0
3.458 0.000 0.000
0.000 3.619 0.000
0.000 0.000 7.237
Ta Sb Br
2 1 1
Direct
0.000 0.000 0.189
0.000 0.000 0.811
0.500 0.500 0.000
0.500 0.000 0.500
```

***

A plane-wave DFT calculation with PBE was carried out for crystalline Ta2SbBr at its relaxed geometry.

Values from the calculation:
Space-group type ... R-3m (166)
Energy above the lowest structure with this stoichiometry ... 0.502 eV per atom
Formation energy (no corrections) ... 418 meV/atom

The structure in POSCAR format:
```
Ta2SbBr
1.0
1.570 0.906 9.204
-1.570 0.906 9.204
0.000 -1.813 9.204
Ta Sb Br
2 1 1
Direct
0.248 0.248 0.248
0.752 0.752 0.752
0.000 0.000 0.000
0.500 0.500 0.500
```

***

A plane-wave DFT calculation with PBE was carried out for crystalline TaSb2Br at its relaxed geometry.

Values from the calculation:
Space-group type ... I4/mmm (139)
Energy above the lowest structure with this stoichiometry ... 0.568 eV per atom
Formation energy (no corrections) ... 517 meV/atom

The structure in POSCAR format:
```
TaSb2Br
1.0
-2.308 2.308 4.281
2.308 -2.308 4.281
2.308 2.308 -4.281
Ta Sb Br
1 2 1
Direct
0.000 0.000 0.000
0.250 0.750 0.500
0.750 0.250 0.500
0.500 0.500 0.000
```

***

A plane-wave DFT calculation with PBE was carried out for crystalline TaSbBr at its relaxed geometry.

Values from the calculation:
Space-group type ... I4mm (107)
Energy above the lowest structure with this stoichiometry ... 0.228 eV per atom
Formation energy (no corrections) ... 12 meV/atom

The structure in POSCAR format:
```
TaSbBr
1.0
-1.599 1.599 7.416
1.599 -1.599 7.416
1.599 1.599 -7.416
Ta Sb Br
1 1 1
Direct
0.000 0.000 0.000
0.634 0.634 0.000
0.390 0.390 0.000
```

***

A plane-wave DFT calculation with PBE was carried out for crystalline Ta2SbBr at its relaxed geometry.

Values from the calculation:
Space-group type ... Imm2 (44)
Energy above the lowest structure with this stoichiometry ... 0.573 eV per atom
Formation energy (no corrections) ... 489 meV/atom

The structure in POSCAR format:
```
Ta2SbBr
1.0
-1.650 2.397 5.067
1.650 -2.397 5.067
1.650 2.397 -5.067
Ta Sb Br
2 1 1
Direct
0.000 0.000 0.000
0.719 0.219 0.500
0.233 0.733 0.500
0.512 0.512 0.000
```

***

A plane-wave DFT calculation with PBE was carried out for crystalline Ta3SbBr at its relaxed geometry.

Values from the calculation:
Space-group type ... Pm-3m (221)
Energy above the lowest structure with this stoichiometry ... 0.000 eV per atom
Formation energy (no corrections) ... 1402 meV/atom

The structure in POSCAR format:
```
Ta3SbBr
1.0
4.757 0.000 0.000
0.000 4.757 0.000
0.000 0.000 4.757
Ta Sb Br
3 1 1
Direct
0.000 0.000 0.500
0.000 0.500 0.000
0.500 0.000 0.000
0.500 0.500 0.500
0.000 0.000 0.000
```

***

A plane-wave DFT calculation with PBE was carried out for crystalline Ta2SbBr at its relaxed geometry.

Values from the calculation:
Space-group type ... C2/m (12)
Energy above the lowest structure with this stoichiometry ... 0.552 eV per atom
Formation energy (no corrections) ... 468 meV/atom

The structure in POSCAR format:
```
Ta2SbBr
1.0
4.595 -1.524 0.000
4.595 1.524 0.000
-1.232 0.000 5.646
Ta Sb Br
2 1 1
Direct
0.248 0.248 0.240
0.752 0.752 0.760
0.000 0.000 0.500
0.500 0.500 0.000
```

***

A plane-wave DFT calculation with PBE was carried out for crystalline TaSb2Br at its relaxed geometry.

Values from the calculation:
Space-group type ... Fm-3m (225)
Energy above the lowest structure with this stoichiometry ... 0.683 eV per atom
Formation energy (no corrections) ... 632 meV/atom

The structure in POSCAR format:
```
TaSb2Br
1.0
0.000 3.600 3.600
3.600 0.000 3.600
3.600 3.600 0.000
Ta Sb Br
1 2 1
Direct
0.000 0.000 0.000
0.250 0.250 0.250
0.750 0.750 0.750
0.500 0.500 0.500
```

***

A plane-wave DFT calculation with PBE was carried out for crystalline TaSb2Br at its relaxed geometry.

Values from the calculation:
Space-group type ... P4/mmm (123)
Energy above the lowest structure with this stoichiometry ... 0.122 eV per atom
Formation energy (no corrections) ... 71 meV/atom

The structure in POSCAR format:
```
TaSb2Br
1.0
3.541 0.000 0.000
0.000 3.541 0.000
0.000 0.000 7.833
Ta Sb Br
1 2 1
Direct
0.000 0.000 0.000
0.500 0.500 0.201
0.500 0.500 0.799
0.000 0.000 0.500
```

***

A plane-wave DFT calculation with PBE was carried out for crystalline TaSb2Br at its relaxed geometry.

Values from the calculation:
Space-group type ... Pmmm (47)
Energy above the lowest structure with this stoichiometry ... 0.687 eV per atom
Formation energy (no corrections) ... 636 meV/atom

The structure in POSCAR format:
```
TaSb2Br
1.0
3.323 0.000 0.000
0.000 5.199 0.000
0.000 0.000 5.292
Ta Sb Br
1 2 1
Direct
0.000 0.000 0.000
0.000 0.500 0.500
0.500 0.500 0.000
0.500 0.000 0.500
```

***

A plane-wave DFT calculation with PBE was carried out for crystalline Ta2SbBr at its relaxed geometry.

Values from the calculation:
Space-group type ... Immm (71)
Energy above the lowest structure with this stoichiometry ... 0.705 eV per atom
Formation energy (no corrections) ... 621 meV/atom

The structure in POSCAR format:
```
Ta2SbBr
1.0
-1.495 2.975 4.708
1.495 -2.975 4.708
1.495 2.975 -4.708
Ta Sb Br
2 1 1
Direct
0.242 0.242 0.000
0.758 0.758 0.000
0.500 0.000 0.500
0.000 0.500 0.500
```

***

A plane-wave DFT calculation with PBE was carried out for crystalline TaSbBr at its relaxed geometry.

Values from the calculation:
Space-group type ... Cm (8)
Energy above the lowest structure with this stoichiometry ... 0.096 eV per atom
Formation energy (no corrections) ... -120 meV/atom

The structure in POSCAR format:
```
TaSbBr
1.0
8.686 -1.691 0.000
8.686 1.691 0.000
-0.108 0.000 5.641
Ta Sb Br
2 2 2
Direct
0.000 0.000 0.000
0.575 0.575 0.675
0.207 0.207 0.567
0.623 0.623 0.160
0.380 0.380 0.028
0.966 0.966 0.522
```

***

A plane-wave DFT calculation with PBE was carried out for crystalline Ta2SbBr at its relaxed geometry.

Values from the calculation:
Space-group type ... Pmm2 (25)
Energy above the lowest structure with this stoichiometry ... 0.361 eV per atom
Formation energy (no corrections) ... 277 meV/atom

The structure in POSCAR format:
```
Ta2SbBr
1.0
2.991 0.000 0.000
0.000 4.338 0.000
0.000 0.000 6.312
Ta Sb Br
2 1 1
Direct
0.000 0.000 0.000
0.500 0.500 0.252
0.500 0.500 0.765
0.000 0.000 0.418
```

***

A plane-wave DFT calculation with PBE was carried out for crystalline Ta2SbBr at its relaxed geometry.

Values from the calculation:
Space-group type ... Cmm2 (35)
Energy above the lowest structure with this stoichiometry ... 0.067 eV per atom
Formation energy (no corrections) ... -17 meV/atom

The structure in POSCAR format:
```
Ta2SbBr
1.0
1.873 -2.464 0.000
1.873 2.464 0.000
0.000 0.000 10.154
Ta Sb Br
2 1 1
Direct
0.000 0.000 0.000
0.500 0.500 0.209
0.500 0.500 0.786
0.000 0.000 0.405
```

***

A plane-wave DFT calculation with PBE was carried out for crystalline Ta2SbBr at its relaxed geometry.

Values from the calculation:
Space-group type ... F-43m (216)
Energy above the lowest structure with this stoichiometry ... 0.834 eV per atom
Formation energy (no corrections) ... 750 meV/atom

The structure in POSCAR format:
```
Ta2SbBr
1.0
0.000 3.455 3.455
3.455 0.000 3.455
3.455 3.455 0.000
Ta Sb Br
2 1 1
Direct
0.000 0.000 0.000
0.250 0.250 0.250
0.500 0.500 0.500
0.750 0.750 0.750
```

***

A plane-wave DFT calculation with PBE was carried out for crystalline Ta4SbBr at its relaxed geometry.

Values from the calculation:
Space-group type ... F-43m (216)
Formation energy (no corrections) ... 756 meV/atom

The structure in POSCAR format:
```
Ta4SbBr
1.0
0.000 3.974 3.974
3.974 0.000 3.974
3.974 3.974 0.000
Ta Sb Br
4 1 1
Direct
0.124 0.124 0.124
0.124 0.124 0.627
0.124 0.627 0.124
0.627 0.124 0.124
0.500 0.500 0.500
0.750 0.750 0.750
```

***

A plane-wave DFT calculation with PBE was carried out for crystalline TaSb2Br at its relaxed geometry.

Values from the calculation:
Space-group type ... Imm2 (44)
Energy above the lowest structure with this stoichiometry ... 0.115 eV per atom
Formation energy (no corrections) ... 64 meV/atom

The structure in POSCAR format:
```
TaSb2Br
1.0
-1.591 2.490 7.764
1.591 -2.490 7.764
1.591 2.490 -7.764
Ta Sb Br
1 2 1
Direct
0.000 0.000 0.000
0.452 0.452 0.000
0.838 0.338 0.500
0.134 0.634 0.500
```

***

A plane-wave DFT calculation with PBE was carried out for crystalline Ta2SbBr at its relaxed geometry.

Values from the calculation:
Space-group type ... Cm (8)
Energy above the lowest structure with this stoichiometry ... 0.419 eV per atom
Formation energy (no corrections) ... 334 meV/atom

The structure in POSCAR format:
```
Ta2SbBr
1.0
4.717 -1.672 0.000
4.717 1.672 0.000
-1.248 0.000 5.200
Ta Sb Br
2 1 1
Direct
0.000 0.000 0.000
0.732 0.732 0.262
0.249 0.249 0.776
0.474 0.474 0.387
```

***

A plane-wave DFT calculation with PBE was carried out for crystalline TaSb2Br2 at its relaxed geometry.

Values from the calculation:
Space-group type ... P4/mbm (127)
Energy above the lowest structure with this stoichiometry ... 0.097 eV per atom
Formation energy (no corrections) ... 844 meV/atom

The structure in POSCAR format:
```
TaSb2Br2
1.0
8.949 0.000 0.000
0.000 8.949 0.000
0.000 0.000 3.191
Ta Sb Br
2 4 4
Direct
0.000 0.000 0.000
0.500 0.500 0.000
0.195 0.305 0.500
0.305 0.805 0.500
0.695 0.195 0.500
0.805 0.695 0.500
0.121 0.621 0.000
0.379 0.121 0.000
0.621 0.879 0.000
0.879 0.379 0.000
```

***

A plane-wave DFT calculation with PBE was carried out for crystalline TaSb2Br at its relaxed geometry.

Values from the calculation:
Space-group type ... Amm2 (38)
Energy above the lowest structure with this stoichiometry ... 0.017 eV per atom
Formation energy (no corrections) ... -34 meV/atom

The structure in POSCAR format:
```
TaSb2Br
1.0
3.556 0.000 0.000
0.000 1.863 8.410
0.000 -1.863 8.410
Ta Sb Br
1 2 1
Direct
0.000 0.000 0.000
0.000 0.180 0.180
0.500 0.571 0.571
0.500 0.883 0.883
```

***

A plane-wave DFT calculation with PBE was carried out for crystalline TaSb2Br at its relaxed geometry.

Values from the calculation:
Space-group type ... P4/mmm (123)
Energy above the lowest structure with this stoichiometry ... 0.583 eV per atom
Formation energy (no corrections) ... 532 meV/atom

The structure in POSCAR format:
```
TaSb2Br
1.0
5.451 0.000 0.000
0.000 5.451 0.000
0.000 0.000 3.094
Ta Sb Br
1 2 1
Direct
0.000 0.000 0.000
0.000 0.500 0.500
0.500 0.000 0.500
0.500 0.500 0.000
```

***

A plane-wave DFT calculation with PBE was carried out for crystalline TaSb2Br at its relaxed geometry.

Values from the calculation:
Space-group type ... R3m (160)
Energy above the lowest structure with this stoichiometry ... 0.084 eV per atom
Formation energy (no corrections) ... 33 meV/atom

The structure in POSCAR format:
```
TaSb2Br
1.0
1.727 0.997 9.920
-1.727 0.997 9.920
0.000 -1.994 9.920
Ta Sb Br
1 2 1
Direct
0.000 0.000 0.000
0.267 0.267 0.267
0.517 0.517 0.517
0.728 0.728 0.728
```

***

A plane-wave DFT calculation with PBE was carried out for crystalline TaSbBr3 at its relaxed geometry.

Values from the calculation:
Space-group type ... Pm-3m (221)
Energy above the lowest structure with this stoichiometry ... 0.733 eV per atom
Formation energy (no corrections) ... 1023 meV/atom

The structure in POSCAR format:
```
TaSbBr3
1.0
5.662 0.000 0.000
0.000 5.662 0.000
0.000 0.000 5.662
Ta Sb Br
1 1 3
Direct
0.000 0.000 0.000
0.500 0.500 0.500
0.000 0.500 0.500
0.500 0.000 0.500
0.500 0.500 0.000
```